La4Sm5Tm: optimized geometry, PBE.

Unit cell a=8.1335 b=8.1335 c=8.1335 alpha=98.60 beta=98.60 gamma=134.50
With the nearest neighbours (Å) after each atom.
Fractional positions:
La: 0.0000 0.3244 0.3244  2 Sm 3.32, 1 Tm 3.67
La: 0.0000 0.6756 0.6756  2 Sm 3.32, 1 Tm 3.67
La: 0.3244 0.0000 0.3244  2 Sm 3.32, 1 Tm 3.67
La: 0.6756 0.0000 0.6756  2 Sm 3.32, 1 Tm 3.67
Sm: 0.2693 0.2693 0.6226  1 Tm 3.26, 3 Sm 3.31-3.64, 2 La 3.32
Sm: 0.2693 0.6468 0.0000  1 Tm 3.26, 3 Sm 3.31-3.64, 2 La 3.32
Sm: 0.6468 0.2693 0.0000  1 Tm 3.26, 3 Sm 3.31-3.64, 2 La 3.32
Sm: 0.6468 0.6468 0.3774  1 Tm 3.26, 3 Sm 3.31-3.64, 2 La 3.32
Sm: 0.7313 0.7313 0.0000  1 Tm 2.96, 4 Sm 3.31
Tm: 0.2023 0.2023 0.0000  5 Sm 2.96-3.26

Computed properties:
As for the symmetry: I4mm, No. 107. The value obtained for the offset from the most stable computed form is 28 meV/atom. As for the crystal system: tetragonal.


La5SmTm4: optimized geometry, PBE.

Unit cell a=3.6990 b=3.6990 c=24.7974 alpha=90.00 beta=90.00 gamma=90.00
With the nearest neighbours (Å) after each atom.
Fractional positions:
La: 0.0000 0.0000 0.0000  8 Tm 3.59, 4 La 3.70
La: 0.0000 0.0000 0.1979  8 Tm 3.59, 4 La 3.70
La: 0.0000 0.0000 0.3966  4 Tm 3.60, 4 Sm 3.66, 4 La 3.70
La: 0.0000 0.0000 0.6034  4 Tm 3.60, 4 Sm 3.66, 4 La 3.70
La: 0.0000 0.0000 0.8021  8 Tm 3.59, 4 La 3.70
Sm: 0.5000 0.5000 0.5000  8 La 3.66, 4 Sm 3.70
Tm: 0.5000 0.5000 0.0989  8 La 3.59, 4 Tm 3.70
Tm: 0.5000 0.5000 0.2969  8 La 3.59-3.60, 4 Tm 3.70
Tm: 0.5000 0.5000 0.7031  8 La 3.59-3.60, 4 Tm 3.70
Tm: 0.5000 0.5000 0.9011  8 La 3.59, 4 Tm 3.70

Computed properties:
As for the symmetry: P4/mmm, No. 123. As for the crystal system: tetragonal.


La3Sm4Tm4: optimized geometry, PBE.

Unit cell a=11.5103 b=6.3938 c=6.3938 alpha=53.33 beta=90.00 gamma=90.00
With the nearest neighbours (Å) after each atom.
Fractional positions:
La: 0.0000 0.0000 0.0000  5 Tm 3.52-3.61, 7 Sm 3.57-3.86
La: 0.3167 0.1356 0.1356  4 Sm 3.48-3.63, 4 Tm 3.56-3.66
La: 0.6833 0.1356 0.1356  4 Sm 3.48-3.63, 4 Tm 3.56-3.66
Sm: 0.0000 0.6860 0.6860  4 Tm 3.19-3.30, 2 Sm 3.42, 2 La 3.57
Sm: 0.2243 0.4897 0.4897  4 Tm 3.31-3.45, 1 Sm 3.42, 2 La 3.48
Sm: 0.5000 0.6958 0.6958  3 Tm 3.20-3.53
Sm: 0.7757 0.4897 0.4897  4 Tm 3.31-3.45, 1 Sm 3.42, 2 La 3.48
Tm: 0.0000 0.3080 0.3080  4 Sm 3.19-3.31, 1 La 3.52
Tm: 0.2524 0.8238 0.8238  4 Sm 3.20-3.45, 1 La 3.53
Tm: 0.5000 0.3870 0.3870  5 Sm 3.38-3.61, 2 La 3.56
Tm: 0.7476 0.8238 0.8238  4 Sm 3.20-3.45, 1 La 3.53

Computed properties:
As for the symmetry: Amm2, No. 38. The value obtained for the offset from the most stable computed form is 150 meV/atom. As for the crystal system: orthorhombic.


| no. | energy relative to the elements (kJ/mol of formula units) | E (eV per atom) |
| --- | --- | --- |
| 1 | 197.0 | -4.573 |
| 2 | 25.8 | -4.697 |
| 3 | 186.6 | -4.510 |